[1]
! SrGa2Au6 PBE optimized geometry; values from VASP
&SYSTEM
  ibrav = 0, nat = 9, ntyp = 3
/
ATOMIC_SPECIES
Sr 87.62 Sr.upf
Ga 69.72 Ga.upf
Au 196.97 Au.upf
CELL_PARAMETERS angstrom
5.033 -3.549 0.000
5.033 3.549 0.000
-0.500 0.000 5.422
ATOMIC_POSITIONS crystal
Sr 0.000 0.000 0.000
Ga 0.386 0.386 0.116
Ga 0.614 0.614 0.884
Au 0.051 0.469 0.748
Au 0.285 0.715 0.500
Au 0.469 0.051 0.748
Au 0.531 0.949 0.252
Au 0.715 0.285 0.500
Au 0.949 0.531 0.252
! * formation energy: -0.335 eV per atom
! * excess energy over the best structure of this formula in the dataset: 0.0 meV per atom

=====

[2]
! Ac4PrTl2 PBE optimized geometry; values from VASP
&SYSTEM
  ibrav = 0, nat = 14, ntyp = 3
/
ATOMIC_SPECIES
Ac 227.00 Ac.upf
Pr 140.91 Pr.upf
Tl 204.38 Tl.upf
CELL_PARAMETERS angstrom
7.214 0.000 0.000
3.589 7.629 0.000
3.601 1.154 9.977
ATOMIC_POSITIONS crystal
Ac 0.000 0.000 0.000
Ac 0.002 0.539 0.900
Ac 0.432 0.511 0.134
Ac 0.440 0.055 0.033
Ac 0.452 0.542 0.554
Ac 0.532 0.030 0.421
Ac 0.895 0.000 0.655
Ac 0.980 0.484 0.524
Pr 0.146 0.857 0.335
Pr 0.791 0.684 0.220
Tl 0.295 0.186 0.723
Tl 0.498 0.770 0.778
Tl 0.651 0.354 0.832
Tl 0.920 0.271 0.277
! * formation energy: -0.086 eV per atom
! * excess energy over the best structure of this formula in the dataset: 35.9 meV per atom